# YWN3 PBE relaxed
# Formation energy from raw total energies: -0.3704 eV/atom
data_YWN3
_symmetry_space_group_name_H-M 'C m c m'
_symmetry_Int_Tables_number 63
_symmetry_space_group_name_Hall '-C 2c 2'
_cell_length_a 4.0263
_cell_length_b 12.1971
_cell_length_c 5.6373
_cell_angle_alpha 90.00
_cell_angle_beta 90.00
_cell_angle_gamma 90.00
loop_
_atom_site_label
_atom_site_type_symbol
_atom_site_fract_x
_atom_site_fract_y
_atom_site_fract_z
Y1 Y 0.0000 0.1188 0.2500
W1 W 0.0000 0.3912 0.2500
N1 N 0.0000 0.5000 0.0000
N2 N 0.1632 0.2240 0.7500

# NdY12Tm6 PBE relaxed
# Energy of formation: 153 meV per atom
# Relative energy among the computed polymorphs: 0 meV/atom
data_NdY12Tm6
_symmetry_space_group_name_H-M 'R -3'
_symmetry_Int_Tables_number 148
_symmetry_space_group_name_Hall '-R 3'
_cell_length_a 11.8399
_cell_length_b 11.8399
_cell_length_c 15.2990
_cell_angle_alpha 90.00
_cell_angle_beta 90.00
_cell_angle_gamma 120.00
loop_
_atom_site_label
_atom_site_type_symbol
_atom_site_fract_x
_atom_site_fract_y
_atom_site_fract_z
Nd1 Nd 0.0000 0.0000 0.0000
Y1 Y 0.0134 0.8315 0.1908
Y2 Y 0.0417 0.8503 0.4149
Tm1 Tm 0.0110 0.4248 0.6799

# Tb14ScTl PBE relaxed
# Energy of formation: -16 meV per atom
data_Tb14ScTl
_symmetry_space_group_name_H-M 'A m m 2'
_symmetry_Int_Tables_number 38
_symmetry_space_group_name_Hall 'A 2 -2'
_cell_length_a 9.9984
_cell_length_b 9.9220
_cell_length_c 9.9214
_cell_angle_alpha 90.00
_cell_angle_beta 90.00
_cell_angle_gamma 90.00
loop_
_atom_site_label
_atom_site_type_symbol
_atom_site_fract_x
_atom_site_fract_y
_atom_site_fract_z
Tb1 Tb 0.0000 0.0000 0.0000
Tb2 Tb 0.0000 0.0000 0.4999
Tb3 Tb 0.0000 0.2504 0.2500
Tb4 Tb 0.2544 0.0000 0.2483
Tb5 Tb 0.2552 0.0000 0.7517
Tb6 Tb 0.2547 0.2483 0.0000
Tb7 Tb 0.5000 0.2494 0.2502
Sc1 Sc 0.5000 0.0000 0.0001
Tl1 Tl 0.5000 0.0000 0.5002

# Na2AsI2 PBE relaxed
# Relative energy among the computed polymorphs: 51 meV/atom
# Formation energy from raw total energies: -0.3650 eV/atom
data_Na2AsI2
_symmetry_space_group_name_H-M 'I 4/m m m'
_symmetry_Int_Tables_number 139
_symmetry_space_group_name_Hall '-I 4 2'
_cell_length_a 5.7858
_cell_length_b 5.7858
_cell_length_c 13.1360
_cell_angle_alpha 90.00
_cell_angle_beta 90.00
_cell_angle_gamma 90.00
loop_
_atom_site_label
_atom_site_type_symbol
_atom_site_fract_x
_atom_site_fract_y
_atom_site_fract_z
Na1 Na 0.0000 0.5000 0.2500
As1 As 0.0000 0.0000 0.0000
I1 I 0.0000 0.0000 0.3364

# SrCo PBE relaxed
# Energy of formation: 425 meV per atom
data_SrCo
_symmetry_space_group_name_H-M 'P 4/n m m'
_symmetry_Int_Tables_number 129
_cell_length_a 3.4228
_cell_length_b 3.4228
_cell_length_c 8.7782
_cell_angle_alpha 90.00
_cell_angle_beta 90.00
_cell_angle_gamma 90.00
loop_
_symmetry_equiv_pos_as_xyz
'x,y,z'
'-x,-y,-z'
'-y+1/2,x,z'
'y+1/2,-x,-z'
'-x+1/2,-y+1/2,z'
'x+1/2,y+1/2,-z'
'y,-x+1/2,z'
'-y,x+1/2,-z'
'x+1/2,-y,-z'
'-x+1/2,y,z'
'-y,-x,-z'
'y,x,z'
'-x,y+1/2,-z'
'x,-y+1/2,z'
'y+1/2,x+1/2,-z'
'-y+1/2,-x+1/2,z'
loop_
_atom_site_label
_atom_site_type_symbol
_atom_site_fract_x
_atom_site_fract_y
_atom_site_fract_z
Sr1 Sr 0.2500 0.2500 0.2063
Co1 Co 0.2500 0.2500 0.5284

# LaBRuRh2 PBE relaxed
# Energy of formation: -510 meV per atom
data_LaBRuRh2
_symmetry_space_group_name_H-M 'P 4/m m m'
_symmetry_Int_Tables_number 123
_symmetry_space_group_name_Hall '-P 4 2'
_cell_length_a 4.2769
_cell_length_b 4.2769
_cell_length_c 4.2944
_cell_angle_alpha 90.00
_cell_angle_beta 90.00
_cell_angle_gamma 90.00
loop_
_atom_site_label
_atom_site_type_symbol
_atom_site_fract_x
_atom_site_fract_y
_atom_site_fract_z
La1 La 0.0000 0.0000 0.0000
B1 B 0.5000 0.5000 0.5000
Ru1 Ru 0.5000 0.5000 0.0000
Rh1 Rh 0.0000 0.5000 0.5000

| no. | D(E_F) (states/eV per atom) |
| --- | --- |
| 1 | 0.24 |
| 2 | 1.84 |
| 3 | 1.39 |
| 4 | 0.00 |
| 5 | 1.44 |
| 6 | 0.76 |